DFT (PBE) results for an optimized crystal structure of ScTaIr2.

Structure (CIF):
```
data_ScTaIr2
_chemical_formula_sum 'Sc1 Ta1 Ir2'
_symmetry_space_group_name_H-M 'P 4 m m'
_symmetry_Int_Tables_number 99
_cell_length_a 3.604
_cell_length_b 3.604
_cell_length_c 5.505
_cell_angle_alpha 90.00
_cell_angle_beta 90.00
_cell_angle_gamma 90.00
loop_
_symmetry_equiv_pos_as_xyz
'x,y,z'
'-y,x,z'
'-x,-y,z'
'y,-x,z'
'-x,y,z'
'y,x,z'
'x,-y,z'
'-y,-x,z'
loop_
_atom_site_label
_atom_site_fract_x
_atom_site_fract_y
_atom_site_fract_z
_atom_site_occupancy
Sc1 0.000 0.000 0.000 1
Ta1 0.500 0.500 0.344 1
Ir1 0.000 0.000 0.497 1
Ir2 0.500 0.500 0.867 1
```

## Properties
energy relative to the elements = -0.45 eV/atom

***

DFT (PBE) results for an optimized crystal structure of LaHoHg5.

Structure (CIF):
```
data_LaHoHg5
_chemical_formula_sum 'La2 Ho2 Hg10'
_symmetry_space_group_name_H-M 'C m m m'
_symmetry_Int_Tables_number 65
_symmetry_space_group_name_Hall '-C 2 2'
_cell_length_a 6.317
_cell_length_b 8.890
_cell_length_c 6.963
_cell_angle_alpha 90.00
_cell_angle_beta 90.00
_cell_angle_gamma 90.00
loop_
_atom_site_label
_atom_site_fract_x
_atom_site_fract_y
_atom_site_fract_z
_atom_site_occupancy
La1 0.000 0.000 0.000 1
Ho1 0.000 0.500 0.500 1
Hg1 0.000 0.000 0.500 1
Hg2 0.250 0.250 0.251 1
```

## Properties
energy relative to the elements = -0.28 eV/atom

***

DFT (PBE) results for an optimized crystal structure of YP2PbCl.

Structure (CIF):
```
data_YP2PbCl
_chemical_formula_sum 'Y1 P2 Pb1 Cl1'
_symmetry_space_group_name_H-M 'P 4/m m m'
_symmetry_Int_Tables_number 123
_symmetry_space_group_name_Hall '-P 4 2'
_cell_length_a 6.253
_cell_length_b 6.253
_cell_length_c 5.192
_cell_angle_alpha 90.00
_cell_angle_beta 90.00
_cell_angle_gamma 90.00
loop_
_atom_site_label
_atom_site_fract_x
_atom_site_fract_y
_atom_site_fract_z
_atom_site_occupancy
Y1 0.000 0.000 0.000 1
P1 0.000 0.500 0.000 1
Pb1 0.500 0.500 0.500 1
Cl1 0.000 0.000 0.500 1
```

## Properties
relative energy among the computed polymorphs = 0 kJ/mol of formula units
energy relative to the elements, uncorrected = 0.123 eV per atom

***

DFT (PBE) results for an optimized crystal structure of Sr2SiSe.

Structure (CIF):
```
data_Sr2SiSe
_chemical_formula_sum 'Sr4 Si2 Se2'
_symmetry_space_group_name_H-M 'I m m 2'
_symmetry_Int_Tables_number 44
_cell_length_a 3.872
_cell_length_b 3.959
_cell_length_c 16.700
_cell_angle_alpha 90.00
_cell_angle_beta 90.00
_cell_angle_gamma 90.00
loop_
_symmetry_equiv_pos_as_xyz
'x,y,z'
'-x,-y,z'
'-x,y,z'
'x,-y,z'
'x+1/2,y+1/2,z+1/2'
'-x+1/2,-y+1/2,z+1/2'
'-x+1/2,y+1/2,z+1/2'
'x+1/2,-y+1/2,z+1/2'
loop_
_atom_site_label
_atom_site_fract_x
_atom_site_fract_y
_atom_site_fract_z
_atom_site_occupancy
Sr1 0.000 0.000 0.000 1
Sr2 0.000 0.500 0.231 1
Si1 0.000 0.500 0.840 1
Se1 0.000 0.000 0.585 1
```

## Properties
relative energy among the computed polymorphs = 39 kJ/mol of formula units
energy relative to the elements, uncorrected = -0.830 eV per atom

***

DFT (PBE) results for an optimized crystal structure of Ta2CrRe.

Structure (CIF):
```
data_Ta2CrRe
_chemical_formula_sum 'Ta2 Cr1 Re1'
_symmetry_space_group_name_H-M 'P 1 2/m 1'
_symmetry_Int_Tables_number 10
_cell_length_a 2.796
_cell_length_b 4.357
_cell_length_c 5.248
_cell_angle_alpha 90.00
_cell_angle_beta 99.35
_cell_angle_gamma 90.00
loop_
_symmetry_equiv_pos_as_xyz
'x,y,z'
'-x,-y,-z'
'-x,y,-z'
'x,-y,z'
loop_
_atom_site_label
_atom_site_fract_x
_atom_site_fract_y
_atom_site_fract_z
_atom_site_occupancy
Ta1 0.245 0.000 0.254 1
Cr1 0.000 0.500 0.500 1
Re1 0.500 0.500 0.000 1
```

## Properties
energy relative to the elements = -0.08 eV/atom

***

DFT (PBE) results for an optimized crystal structure of MnBeSe2.

Structure (CIF):
```
data_MnBeSe2
_chemical_formula_sum 'Mn2 Be2 Se4'
_symmetry_space_group_name_H-M 'P 1'
_symmetry_Int_Tables_number 1
_cell_length_a 3.842
_cell_length_b 6.510
_cell_length_c 7.028
_cell_angle_alpha 107.62
_cell_angle_beta 90.04
_cell_angle_gamma 90.00
loop_
_symmetry_equiv_pos_as_xyz
'x,y,z'
loop_
_atom_site_label
_atom_site_fract_x
_atom_site_fract_y
_atom_site_fract_z
_atom_site_occupancy
Mn1 0.000 0.000 0.000 1
Mn2 0.500 0.273 0.277 1
Be1 0.001 0.518 0.514 1
Be2 0.502 0.013 0.515 1
Se1 0.000 0.428 0.161 1
Se2 0.002 0.886 0.622 1
Se3 0.500 0.873 0.173 1
Se4 0.501 0.392 0.643 1
```

## Properties
energy relative to the elements, uncorrected = -0.444 eV per atom

***

DFT (PBE) results for an optimized crystal structure of Be2TcW.

Structure (CIF):
```
data_Be2TcW
_chemical_formula_sum 'Be4 Tc2 W2'
_symmetry_space_group_name_H-M 'I 4/m m m'
_symmetry_Int_Tables_number 139
_symmetry_space_group_name_Hall '-I 4 2'
_cell_length_a 3.842
_cell_length_b 3.842
_cell_length_c 6.410
_cell_angle_alpha 90.00
_cell_angle_beta 90.00
_cell_angle_gamma 90.00
loop_
_atom_site_label
_atom_site_fract_x
_atom_site_fract_y
_atom_site_fract_z
_atom_site_occupancy
Be1 0.000 0.500 0.250 1
Tc1 0.000 0.000 0.000 1
W1 0.000 0.000 0.500 1
```

## Properties
energy relative to the elements = 0.13 eV/atom
relative energy among the computed polymorphs = 138 kJ/mol of formula units

***

DFT (PBE) results for an optimized crystal structure of SmNp2Pd9.

Structure (CIF):
```
data_SmNp2Pd9
_chemical_formula_sum 'Sm1 Np2 Pd9'
_symmetry_space_group_name_H-M 'P 4/m m m'
_symmetry_Int_Tables_number 123
_symmetry_space_group_name_Hall '-P 4 2'
_cell_length_a 4.147
_cell_length_b 4.147
_cell_length_c 12.454
_cell_angle_alpha 90.00
_cell_angle_beta 90.00
_cell_angle_gamma 90.00
loop_
_atom_site_label
_atom_site_fract_x
_atom_site_fract_y
_atom_site_fract_z
_atom_site_occupancy
Sm1 0.000 0.000 0.000 1
Np1 0.000 0.000 0.333 1
Pd1 0.000 0.500 0.171 1
Pd2 0.000 0.500 0.500 1
Pd3 0.500 0.500 0.000 1
Pd4 0.500 0.500 0.335 1
```

## Properties
energy relative to the elements = -0.58 eV/atom